# YTcAg2 | Alexandria via LeMat-Bulk | PBE | optimized geometry
# **E_tot**: -5.459 eV per atom
# **Formation energy from the elements**: 0.174 eV per atom
# **ρ**: 8.7 g/cm3
data_YTcAg2
_chemical_formula_sum 'Y1 Tc1 Ag2'
_space_group_name_H-M_alt 'P 4/m m m'
_space_group_IT_number 123
_space_group_name_Hall '-P 4 2'
_cell_length_a 4.135
_cell_length_b 4.135
_cell_length_c 4.481
_cell_angle_alpha 90.00
_cell_angle_beta 90.00
_cell_angle_gamma 90.00
loop_
_atom_site_label
_atom_site_fract_x
_atom_site_fract_y
_atom_site_fract_z
Y1 0.000 0.000 0.000
Tc1 0.500 0.500 0.000
Ag1 0.000 0.500 0.500